1.
Entry from Alexandria: a relaxed structure of NdCd2Sn (PBE).

Its density of states at the Fermi level is 0.84 states/eV per atom. Its formation energy is 327 meV per atom. Its crystal system is hexagonal. Its theoretical density is 5.964 g cm⁻³. Its electronic total energy is -2.323 eV/atom. The relative energy among the computed polymorphs is 0.784 eV per atom.

Cell: 5.891 5.159 5.159 Å, 60.00 90.00 90.00°
Atoms (fractional coordinates):
Nd1 0.000 0.000 0.000
Cd1 0.500 0.000 0.000
Cd2 0.500 0.333 0.333
Sn1 0.500 0.667 0.667

=====

2.
Entry from Alexandria: a relaxed structure of Ac2Ce3NbN6 (PBE).

The energy relative to the elements, uncorrected comes out at -1.21 eV/atom. Its density of states at the Fermi level is 0.79 states/eV per atom. Its crystal system is monoclinic. Its theoretical density is 8.907 g cm⁻³. Its electronic total energy is -8.378 eV/atom.

Cell: 6.298 6.298 6.088 Å, 99.77 99.77 120.30°
Atoms (fractional coordinates):
Ac1 0.332 0.668 0.000
Ac2 0.668 0.332 0.000
Ce1 0.161 0.839 0.500
Ce2 0.839 0.161 0.500
Ce3 0.500 0.500 0.500
Nb1 0.000 0.000 0.000
N1 0.917 0.632 0.752
N2 0.791 0.791 0.256
N3 0.083 0.368 0.248
N4 0.632 0.917 0.752
N5 0.209 0.209 0.744
N6 0.368 0.083 0.248

=====

3.
Entry from Alexandria: a relaxed structure of Tl2NiPb (PBE).

Its density of states at the Fermi level is 0.87 states/eV per atom. Its formation energy is 453 meV per atom. Its crystal system is orthorhombic. Its theoretical density is 11.149 g cm⁻³. Its electronic total energy is -3.102 eV/atom. The relative energy among the computed polymorphs is 0.298 eV per atom.

Cell: 5.445 5.445 3.576 Å, 90.00 90.00 108.58°
Each line ends with the local moment (μB).
Atoms (fractional coordinates):
Ni1 0.500 0.000 0.500  0.16
Pb1 0.000 0.500 0.500  0.00
Tl1 0.000 0.000 0.000  0.00
Tl2 0.500 0.500 0.000  0.00

=====

4.
Entry from Alexandria: a relaxed structure of PrLuCoRh (PBE).

Its density of states at the Fermi level is 0.40 states/eV per atom. Its formation energy is -388 meV per atom. Its crystal system is cubic. Its theoretical density is 9.823 g cm⁻³. Its electronic total energy is -6.328 eV/atom.

Cell: 4.852 4.852 4.852 Å, 60.00 60.00 60.00°
Each line ends with the local moment (μB).
Atoms (fractional coordinates):
Pr1 0.750 0.750 0.750  -0.08
Co1 0.500 0.500 0.500  0.79
Lu1 0.250 0.250 0.250  -0.12
Rh1 0.000 0.000 0.000  0.15